Record 1
Here is a crystal of HfCr3Sb relaxed with PBEsol from Alexandria via LeMat-Bulk. Energies are from SCAN.

E_form (uncorrected) (eV/atom): 1.380
DOS at the Fermi energy (states/eV per cell): 4.59
V (Å³/atom): 20.81

```
5
Lattice="-2.8826 2.9679 2.2363 -2.6713 0.3126 -3.8582 -2.5834 -3.6350 1.4941" Properties=species:S:1:pos:R:3 pbc="T T T"
Sb -4.0686 -0.1772 -0.0639
Hf 0.0000 0.0000 0.0000
Cr -1.3356 0.1563 -1.9291
Cr -1.2917 -1.8175 0.7471
Cr -1.4413 1.4840 1.1181
```

Record 2
Here is a crystal of Mn2NiRh relaxed with PBEsol from Alexandria via LeMat-Bulk. Energies are from SCAN.

DOS at the Fermi energy (states/eV per cell): 5.29
V (Å³/atom): 11.18
ΔH_f (0 K) (meV per atom): 59

```
4
Lattice="-2.2304 -0.6250 1.0418 2.0100 -1.2127 3.5758 0.3989 4.3382 0.3609" Properties=species:S:1:pos:R:3 pbc="T T T"
Mn 0.1225 1.7204 1.2946
Mn 0.0560 0.7800 3.6839
Ni -1.1152 -0.3125 0.5209
Rh 1.0050 -0.6063 1.7879
```

Record 3
Here is a crystal of TePtPbI2 relaxed with PBEsol from Alexandria via LeMat-Bulk. Energies are from SCAN.

E_form (uncorrected) (eV/atom): -0.013
DOS at the Fermi energy (states/eV per cell): 1.53
V (Å³/atom): 30.76

```
5
Lattice="5.4032 0.0000 0.0000 0.0000 5.3351 0.0000 0.0000 0.0000 5.3351" Properties=species:S:1:pos:R:3 pbc="T T T"
Pb 2.7016 2.6675 2.6675
I 0.0000 0.0000 2.6675
I 0.0000 2.6675 0.0000
Te 2.7016 0.0000 0.0000
Pt 0.0000 0.0000 0.0000
```

Record 4
Here is a crystal of ZnCd2Rh relaxed with PBEsol from Alexandria via LeMat-Bulk. Energies are from SCAN.

DOS at the Fermi energy (states/eV per cell): 1.33
V (Å³/atom): 16.69
ΔH_f (0 K) (meV per atom): -114

```
4
Lattice="3.0012 0.0000 -0.0199 0.0000 4.2536 0.0000 -1.4345 0.0000 5.2386" Properties=species:S:1:pos:R:3 pbc="T T T"
Zn 0.2337 2.1268 3.9037
Rh 0.2235 0.0000 2.6040
Cd -1.2567 0.0000 5.0476
Cd 1.7149 2.1268 1.5113
```

Record 5
Here is a crystal of LiGaHg2Te relaxed with PBEsol from Alexandria via LeMat-Bulk. Energies are from SCAN.

E_form (uncorrected) (eV/atom): 0.138
DOS at the Fermi energy (states/eV per cell): 2.47
V (Å³/atom): 24.12

```
5
Lattice="4.8477 0.0000 0.0000 0.0000 4.8477 0.0000 0.0000 0.0000 5.1324" Properties=species:S:1:pos:R:3 pbc="T T T"
Te 2.4238 2.4238 2.5662
Hg 0.0000 2.4238 0.0000
Hg 2.4238 0.0000 0.0000
Ga 0.0000 0.0000 2.5662
Li 0.0000 0.0000 0.0000
```

Record 6
Here is a crystal of CdCu2Br relaxed with PBEsol from Alexandria via LeMat-Bulk. Energies are from SCAN.

E_form (uncorrected) (eV/atom): 0.056
DOS at the Fermi energy (states/eV per cell): 0.86
V (Å³/atom): 18.65

```
4
Lattice="-2.2752 -0.5482 2.3559 1.7914 -2.9644 1.0402 3.3160 3.4104 3.9960" Properties=species:S:1:pos:R:3 pbc="T T T"
Br 0.5204 1.4311 3.1760
Cd -0.2419 -1.7563 1.6980
Cu 4.4792 -0.1987 4.2795
Cu 0.6282 0.6447 0.7567
```

Record 7
Here is a crystal of MgHSe2Br relaxed with PBEsol from Alexandria via LeMat-Bulk. Energies are from SCAN.

Uncorrected energy (eV per atom): -13.292
DOS at the Fermi energy (states/eV per cell): 1.60
V (Å³/atom): 27.09

```
5
Lattice="-2.8701 -1.3690 -3.9564 4.1666 -1.4020 -2.5374 -0.4230 -4.8502 1.9852" Properties=species:S:1:pos:R:3 pbc="T T T"
H 0.4367 -3.8106 -2.2543
Mg 0.0000 0.0000 0.0000
Se 2.0833 -0.7010 -1.2687
Se -1.4350 -0.6845 -1.9782
Br -0.2115 -2.4251 0.9926
```

Record 8
Here is a crystal of SiGeP2 relaxed with PBEsol from Alexandria via LeMat-Bulk. Energies are from SCAN.

E_form (uncorrected) (eV/atom): 0.686
DOS at the Fermi energy (states/eV per cell): 1.30
V (Å³/atom): 15.01

```
4
Lattice="-2.5985 1.4103 3.2518 -3.4069 -2.4483 1.3093 0.1022 -1.9927 3.9158" Properties=species:S:1:pos:R:3 pbc="T T T"
P -1.4758 -0.7577 2.1192
P -4.4274 -2.2731 6.3577
Ge -2.9516 -1.5154 4.2385
Si 0.0000 0.0000 0.0000
```

Record 9
Here is a crystal of NaCd2InCl relaxed with PBEsol from Alexandria via LeMat-Bulk. Energies are from SCAN.

E_form (uncorrected) (eV/atom): -0.098
DOS at the Fermi energy (states/eV per cell): 1.96
V (Å³/atom): 30.62

```
5
Lattice="-4.2633 -1.2755 -1.9217 2.2673 0.1660 -5.1402 1.4184 -5.4198 0.4506" Properties=species:S:1:pos:R:3 pbc="T T T"
Cl -2.1317 -0.6377 -0.9608
Cd 0.7092 -2.7099 0.2253
Cd 1.1336 0.0830 -2.5701
Na 0.0000 0.0000 0.0000
In -0.2889 -3.2647 -3.3056
```

Record 10
Here is a crystal of As2IrPt relaxed with PBEsol from Alexandria via LeMat-Bulk. Energies are from SCAN.

DOS at the Fermi energy (states/eV per cell): 2.95
V (Å³/atom): 15.58
ΔH_f (0 K) (meV per atom): 144

```
4
Lattice="-2.9683 0.5566 -0.2441 -0.4476 -1.1792 2.7545 0.9209 6.1275 2.7728" Properties=species:S:1:pos:R:3 pbc="T T T"
As 0.6981 4.6452 2.1020
As 0.2228 1.4824 0.6708
Ir -1.7080 -0.3113 1.2552
Pt -1.2475 2.7524 2.6416
```

Record 11
Here is a crystal of TaBe2Se relaxed with PBEsol from Alexandria via LeMat-Bulk. Energies are from SCAN.

E_form (uncorrected) (eV/atom): 0.138
DOS at the Fermi energy (states/eV per cell): 1.40
V (Å³/atom): 13.49

```
4
Lattice="3.3178 0.0000 0.0000 0.0000 3.3178 0.0000 0.0000 0.0000 4.9023" Properties=species:S:1:pos:R:3 pbc="T T T"
Be 0.0000 0.0000 3.5191
Be 0.0000 0.0000 1.3832
Se 1.6589 1.6589 0.0000
Ta 1.6589 1.6589 2.4511
```

Record 12
Here is a crystal of Ba2MnCo relaxed with PBEsol from Alexandria via LeMat-Bulk. Energies are from SCAN.

DOS at the Fermi energy (states/eV per cell): 3.07
V (Å³/atom): 27.69
ΔH_f (0 K) (meV per atom): 411

```
4
Lattice="-2.2248 0.2355 2.6732 1.2042 -3.0155 1.2679 6.2721 4.5316 4.8206" Properties=species:S:1:pos:R:3 pbc="T T T"
Ba 5.7142 4.1285 4.3919
Ba 1.5943 0.1306 3.5881
Co 3.7452 2.7059 2.8785
Mn 3.6060 1.5840 5.1343
```

Record 13
Here is a crystal of Cd2GaAu2 relaxed with PBEsol from Alexandria via LeMat-Bulk. Energies are from SCAN.

DOS at the Fermi energy (states/eV per cell): 3.06
V (Å³/atom): 19.19
ΔH_f (0 K) (meV per atom): -180

```
10
Lattice="-1.0656 -3.9448 -0.5786 2.6906 0.1917 -6.2622 6.0126 -1.9942 2.5224" Properties=species:S:1:pos:R:3 pbc="T T T"
Au 6.0528 -1.6280 -0.0479
Au 6.1951 -1.1331 -3.6837
Au 2.6505 -0.1744 -3.6919
Au 2.5082 -0.6693 -0.0561
Ga 0.0000 0.0000 0.0000
Ga 4.3516 -0.9012 -1.8699
Cd 3.8239 -3.2492 0.3916
Cd 6.3097 -3.5315 -2.2611
Cd 3.8137 -2.4981 -4.7100
Cd 1.3280 -2.2157 -2.0574
```

Record 14
Here is a crystal of TlAgHg2 relaxed with PBEsol from Alexandria via LeMat-Bulk. Energies are from SCAN.

DOS at the Fermi energy (states/eV per cell): 1.16
V (Å³/atom): 22.43
ΔH_f (0 K) (meV per atom): 76

```
4
Lattice="-2.2317 -1.5783 1.5938 3.7179 -1.9977 3.2276 -1.3494 5.9553 0.8671" Properties=species:S:1:pos:R:3 pbc="T T T"
Tl -1.1158 -0.7891 0.7969
Hg 0.4699 0.0900 3.8878
Hg -0.3331 2.2894 1.8007
Ag 1.8589 -0.9988 1.6138
```

Record 15
Here is a crystal of Te2Cl relaxed with PBEsol from Alexandria via LeMat-Bulk. Energies are from SCAN.

E_form (uncorrected) (eV/atom): -0.200
DOS at the Fermi energy (states/eV per cell): 2.87
V (Å³/atom): 29.92

```
12
Lattice="-4.4222 -0.1515 2.2396 -1.3797 -8.1560 -3.2762 3.4597 -3.2414 6.6122" Properties=species:S:1:pos:R:3 pbc="T T T"
Cl -2.9346 -5.9254 2.0408
Cl -0.6607 -1.1842 1.3608
Cl -1.6816 -10.3647 4.2147
Cl 0.5924 -5.6235 3.5347
Te -0.3785 -5.8279 7.0948
Te -0.4090 -8.3763 1.3711
Te -1.9333 -3.1726 4.2044
Te -1.9638 -5.7209 -1.5193
Te -1.2011 -7.9769 5.3251
Te 0.9407 -3.1119 4.3924
Te -3.2829 -8.4370 1.1832
Te -1.1412 -3.5719 0.2504
```

Record 16
Here is a crystal of KSc2Fe relaxed with PBEsol from Alexandria via LeMat-Bulk. Energies are from SCAN.

DOS at the Fermi energy (states/eV per cell): 3.04
V (Å³/atom): 26.18
ΔH_f (0 K) (meV per atom): 421

```
4
Lattice="3.3298 0.0000 0.0000 0.0000 3.1912 0.0000 -1.6649 -1.5956 9.8550" Properties=species:S:1:pos:R:3 pbc="T T T"
Fe 0.0000 0.0000 8.7886
K 0.0000 1.5956 3.7219
Sc 0.0000 0.0000 0.1101
Sc 1.6649 0.0000 7.0894
```

Record 17
Here is a crystal of KPt2Br relaxed with PBEsol from Alexandria via LeMat-Bulk. Energies are from SCAN.

E_form (uncorrected) (eV/atom): 0.406
DOS at the Fermi energy (states/eV per cell): 3.94
V (Å³/atom): 21.18

```
4
Lattice="2.6624 0.0000 0.0000 0.0000 5.4915 0.0000 0.0000 -2.7457 5.7935" Properties=species:S:1:pos:R:3 pbc="T T T"
Br 1.3312 0.0000 0.0000
K 1.3312 2.7457 0.0000
Pt 0.0000 -1.3729 2.8968
Pt 0.0000 1.3729 2.8968
```

Record 18
Here is a crystal of BaLi2OsW relaxed with PBEsol from Alexandria via LeMat-Bulk. Energies are from SCAN.

DOS at the Fermi energy (states/eV per cell): 5.02
V (Å³/atom): 24.11
ΔH_f (0 K) (meV per atom): 923

```
5
Lattice="-1.4697 -4.1763 1.4396 0.2106 -1.7230 -4.7832 4.8236 -1.4449 0.7328" Properties=species:S:1:pos:R:3 pbc="T T T"
Os -0.7349 -2.0882 0.7198
Ba 1.7822 -3.6721 -1.3054
W 0.0000 0.0000 0.0000
Li 2.4118 -0.7225 0.3664
Li 0.1053 -0.8615 -2.3916
```

Record 19
Here is a crystal of Ti3Cu2P6WO24 relaxed with PBEsol from Alexandria via LeMat-Bulk. Energies are from SCAN.

E_form (uncorrected) (eV/atom): -2.451
DOS at the Fermi energy (states/eV per cell): 7.51
V (Å³/atom): 12.44

```
36
Lattice="8.6306 0.0000 0.0000 4.3153 7.4744 0.0000 4.3153 2.4915 6.9414" Properties=species:S:1:pos:R:3 pbc="T T T"
Ti 8.6307 4.9829 6.3936
Ti 4.3153 2.4915 4.0225
Ti 8.6307 4.9829 0.5425
Cu 4.3153 2.4915 6.8428
Cu 8.6307 4.9829 3.4754
P 6.8306 7.4662 5.2247
P 7.3801 2.1824 5.2247
P 11.6813 5.3002 5.2247
P 5.5828 4.6275 1.7407
P 9.8467 7.8001 1.7407
P 10.4624 2.5211 1.7407
W 12.9460 7.4744 2.9031
O 12.1460 8.8766 6.4590
O 12.1316 6.0804 6.4590
O 14.5603 7.4660 6.4590
O 7.7107 8.7300 5.2881
O 5.9677 7.4517 3.9405
O 7.7312 6.2206 5.1314
O 5.8455 2.3127 5.2881
O 8.0085 3.5851 5.1314
O 5.1187 3.8989 3.0036
O 10.1523 5.1430 5.1314
O 4.9468 6.0556 1.6476
O 5.1325 1.0920 3.0036
O 7.8241 1.4423 3.9405
O 12.3357 3.9060 5.2881
O 7.1099 4.7977 1.8276
O 12.1001 6.0547 3.9405
O 9.2307 6.3925 1.8276
O 11.4016 7.6368 1.6476
O 9.5514 3.7585 1.8276
O 2.6948 2.4835 3.0036
O 9.5436 1.2562 1.6476
O 2.6971 2.4934 0.4821
O 5.1261 3.8919 0.4821
O 5.1228 1.0890 0.4821
```

Record 20
Here is a crystal of ZrMn2In relaxed with PBEsol from Alexandria via LeMat-Bulk. Energies are from SCAN.

DOS at the Fermi energy (states/eV per cell): 3.28
V (Å³/atom): 15.38
ΔH_f (0 K) (meV per atom): 51

```
4
Lattice="2.8806 0.0000 0.0000 0.0000 2.8806 0.0000 0.0000 0.0000 7.4127" Properties=species:S:1:pos:R:3 pbc="T T T"
In 1.4403 1.4403 5.8670
Mn 0.0000 0.0000 0.3720
Mn 1.4403 1.4403 1.4731
Zr 0.0000 0.0000 3.4070
```